Below is crystalline EuDyRh4 at its relaxed geometry, with properties calculated at the PBE level.

It has space group F-43m (No. 216), with a = 7.596 Å, b = 7.596 Å, c = 7.596 Å, α = 90.00°, β = 90.00° and γ = 90.00°. Symmetry generates all atoms from Eu at (0.000, 0.000, 0.000), Dy at (0.250, 0.250, 0.250) and Rh at (0.125, 0.125, 0.625).

The volume comes out at 438.3 Å³ per cell. The value obtained for the formation energy is -3.6 eV/f.u. Its total energy is -7.9779 eV/atom.

---

Below is crystalline EuDyRh at its relaxed geometry, with properties calculated at the PBE level.

It has space group P3m1 (No. 156), with a = 4.0467 Å, b = 4.0467 Å, c = 6.4144 Å, α = 90.00°, β = 90.00° and γ = 120.00°. Symmetry generates all atoms from Eu at (0.0000, 0.0000, 0.0000), Dy at (0.6667, 0.3333, 0.5147) and Rh at (0.3333, 0.6667, 0.7303).

The volume comes out at 91.0 Å³ per cell. The value obtained for the formation energy is -1.3 eV/f.u. As for the energy above the most stable polymorph in this dataset: 46 meV per atom. Its total energy is -7.8303 eV/atom.

---

Below is crystalline EuDy3Rh at its relaxed geometry, with properties calculated at the PBE level.

It has space group Pm-3m (No. 221), with a = 5.467 Å, b = 5.467 Å, c = 5.467 Å, α = 90.00°, β = 90.00° and γ = 90.00°. Symmetry generates all atoms from Eu at (0.000, 0.000, 0.000), Dy at (0.000, 0.500, 0.500) and Rh at (0.500, 0.500, 0.500).

The volume comes out at 163.4 Å³ per cell. The value obtained for the formation energy is -1.5 eV/f.u. Its total energy is -6.5869 eV/atom.

---

Below is crystalline EuDyRh2 at its relaxed geometry, with properties calculated at the PBE level.

It has space group P4/mmm (No. 123), with a = 3.438 Å, b = 3.438 Å, c = 7.083 Å, α = 90.00°, β = 90.00° and γ = 90.00°. Symmetry generates all atoms from Eu at (0.000, 0.000, 0.000), Dy at (0.000, 0.000, 0.500) and Rh at (0.500, 0.500, 0.272).

The volume comes out at 83.7 Å³ per cell. The value obtained for the formation energy is -2.5 eV/f.u. As for the energy above the most stable polymorph in this dataset: 0 meV per atom. Its total energy is -8.0215 eV/atom.

---

Below is crystalline EuDyRh at its relaxed geometry, with properties calculated at the PBE level.

It has space group F-43m (No. 216), with a = 6.898 Å, b = 6.898 Å, c = 6.898 Å, α = 90.00°, β = 90.00° and γ = 90.00°. Symmetry generates all atoms from Eu at (0.000, 0.000, 0.000), Dy at (0.000, 0.000, 0.500) and Rh at (0.250, 0.250, 0.750).

The volume comes out at 328.3 Å³ per cell. The value obtained for the formation energy is -1.3 eV/f.u. As for the energy above the most stable polymorph in this dataset: 28 meV per atom. Its total energy is -7.8477 eV/atom.

---

Below is crystalline EuDyRh2 at its relaxed geometry, with properties calculated at the PBE level.

It has space group Fm-3m (No. 225), with a = 6.929 Å, b = 6.929 Å, c = 6.929 Å, α = 90.00°, β = 90.00° and γ = 90.00°. Symmetry generates all atoms from Eu at (0.000, 0.000, 0.000), Dy at (0.000, 0.000, 0.500) and Rh at (0.250, 0.250, 0.250).

The volume comes out at 332.6 Å³ per cell. The value obtained for the formation energy is -2.4 eV/f.u. As for the energy above the most stable polymorph in this dataset: 34 meV per atom. Its total energy is -7.9880 eV/atom.

---

Below is crystalline EuDyRh at its relaxed geometry, with properties calculated at the PBE level.

It has space group I4mm (No. 107), with a = 3.490 Å, b = 3.490 Å, c = 13.154 Å, α = 90.00°, β = 90.00° and γ = 90.00°. Symmetry generates all atoms from Eu at (0.000, 0.000, 0.000), Dy at (0.000, 0.000, 0.259) and Rh at (0.000, 0.000, 0.649).

The volume comes out at 160.3 Å³ per cell. The value obtained for the formation energy is -1.4 eV/f.u. As for the energy above the most stable polymorph in this dataset: 0 meV per atom. Its total energy is -7.8758 eV/atom.

---

Below is crystalline Eu2DyRh at its relaxed geometry, with properties calculated at the PBE level.

It has space group R-3m (No. 166, hexagonal axes), with a = 3.8061 Å, b = 3.8061 Å, c = 29.3323 Å, α = 90.00°, β = 90.00° and γ = 120.00°. Symmetry generates all atoms from Eu at (0.0000, 0.0000, 0.2281), Dy at (0.0000, 0.0000, 0.0000) and Rh at (0.0000, 0.0000, 0.5000).

The volume comes out at 368.0 Å³ per cell. The value obtained for the formation energy is -0.2 eV/f.u. Its total energy is -8.1647 eV/atom.